[1]
Material: Sr8Fe3N8
Method: DFT, PBE
State: optimized geometry

The structure in CIF format:
```
data_Sr8Fe3N8
_chemical_formula_sum 'Sr16 Fe6 N16'
_symmetry_space_group_name_H-M 'C 1 2/m 1'
_symmetry_Int_Tables_number 12
_cell_length_a 18.846
_cell_length_b 5.356
_cell_length_c 7.477
_cell_angle_alpha 90.00
_cell_angle_beta 105.78
_cell_angle_gamma 90.00
loop_
_symmetry_equiv_pos_as_xyz
'x,y,z'
'-x,-y,-z'
'-x,y,-z'
'x,-y,z'
'x+1/2,y+1/2,z'
'-x+1/2,-y+1/2,-z'
'-x+1/2,y+1/2,-z'
'x+1/2,-y+1/2,z'
loop_
_atom_site_label
_atom_site_type_symbol
_atom_site_fract_x
_atom_site_fract_y
_atom_site_fract_z
Sr1 Sr 0.030 0.000 0.265
Sr2 Sr 0.095 0.500 0.965
Sr3 Sr 0.167 0.500 0.470
Sr4 Sr 0.200 0.000 0.807
Fe1 Fe 0.000 0.500 0.500
Fe2 Fe 0.188 0.000 0.206
N1 N 0.027 0.500 0.280
N2 N 0.108 0.000 0.016
N3 N 0.179 0.000 0.431
N4 N 0.225 0.500 0.832
```

Calculated values
The uncorrected formation energy comes out at -0.626 eV/atom. The calculation puts the energy at -6.1755 eV/atom.

=====

[2]
Material: SrFe5N4
Method: DFT, PBE
State: optimized geometry

The structure in CIF format:
```
data_SrFe5N4
_chemical_formula_sum 'Sr2 Fe10 N8'
_symmetry_space_group_name_H-M 'P m m n'
_symmetry_Int_Tables_number 59
_cell_length_a 5.850
_cell_length_b 9.421
_cell_length_c 4.402
_cell_angle_alpha 90.00
_cell_angle_beta 90.00
_cell_angle_gamma 90.00
loop_
_symmetry_equiv_pos_as_xyz
'x,y,z'
'-x,-y,-z'
'-x+1/2,-y+1/2,z'
'x+1/2,y+1/2,-z'
'x+1/2,-y,-z'
'-x+1/2,y,z'
'-x,y+1/2,-z'
'x,-y+1/2,z'
loop_
_atom_site_label
_atom_site_type_symbol
_atom_site_fract_x
_atom_site_fract_y
_atom_site_fract_z
Sr1 Sr 0.250 0.250 0.227
Fe1 Fe 0.005 0.562 0.231
Fe2 Fe 0.250 0.750 0.527
N1 N 0.008 0.750 0.290
N2 N 0.250 0.503 0.986
```

Calculated values
The uncorrected formation energy comes out at -0.005 eV/atom. The calculation puts the energy at -7.7342 eV/atom.

=====

[3]
Material: Sr3Fe2N4
Method: DFT, PBE
State: optimized geometry

The structure in CIF format:
```
data_Sr3Fe2N4
_chemical_formula_sum 'Sr12 Fe8 N16'
_symmetry_space_group_name_H-M 'C 1 2/c 1'
_symmetry_Int_Tables_number 15
_cell_length_a 11.220
_cell_length_b 8.597
_cell_length_c 5.504
_cell_angle_alpha 90.00
_cell_angle_beta 94.69
_cell_angle_gamma 90.00
loop_
_symmetry_equiv_pos_as_xyz
'x,y,z'
'-x,-y,-z'
'-x,y,-z+1/2'
'x,-y,z+1/2'
'x+1/2,y+1/2,z'
'-x+1/2,-y+1/2,-z'
'-x+1/2,y+1/2,-z+1/2'
'x+1/2,-y+1/2,z+1/2'
loop_
_atom_site_label
_atom_site_type_symbol
_atom_site_fract_x
_atom_site_fract_y
_atom_site_fract_z
Sr1 Sr 0.000 0.096 0.250
Sr2 Sr 0.125 0.366 0.556
Fe1 Fe 0.210 0.127 0.928
N1 N 0.127 0.311 0.029
N2 N 0.178 0.053 0.611
```

Calculated values
The calculation puts the energy relative to the lowest polymorph listed for this composition at 53.2 meV per atom. The uncorrected formation energy comes out at -0.420 eV/atom. The calculation puts the energy at -6.5613 eV/atom.

=====

[4]
Material: Sr2Fe2N
Method: DFT, PBE
State: optimized geometry

The structure in CIF format:
```
data_Sr2Fe2N
_chemical_formula_sum 'Sr4 Fe4 N2'
_symmetry_space_group_name_H-M 'P 4/m b m'
_symmetry_Int_Tables_number 127
_symmetry_space_group_name_Hall '-P 4 2ab'
_cell_length_a 5.565
_cell_length_b 5.565
_cell_length_c 5.281
_cell_angle_alpha 90.00
_cell_angle_beta 90.00
_cell_angle_gamma 90.00
loop_
_atom_site_label
_atom_site_type_symbol
_atom_site_fract_x
_atom_site_fract_y
_atom_site_fract_z
Sr1 Sr 0.181 0.319 0.000
Fe1 Fe 0.207 0.707 0.500
N1 N 0.000 0.000 0.500
```

Calculated values
The calculation puts the energy relative to the lowest polymorph listed for this composition at 356.0 meV per atom. The uncorrected formation energy comes out at 0.972 eV/atom. The calculation puts the energy at -4.7505 eV/atom.

=====

[5]
Material: SrFe3N
Method: DFT, PBE
State: optimized geometry

The structure in CIF format:
```
data_SrFe3N
_chemical_formula_sum 'Sr1 Fe3 N1'
_symmetry_space_group_name_H-M 'P m -3 m'
_symmetry_Int_Tables_number 221
_symmetry_space_group_name_Hall '-P 4 2 3'
_cell_length_a 4.124
_cell_length_b 4.124
_cell_length_c 4.124
_cell_angle_alpha 90.00
_cell_angle_beta 90.00
_cell_angle_gamma 90.00
loop_
_atom_site_label
_atom_site_type_symbol
_atom_site_fract_x
_atom_site_fract_y
_atom_site_fract_z
Sr1 Sr 0.000 0.000 0.000
Fe1 Fe 0.000 0.500 0.500
N1 N 0.500 0.500 0.500
```

Calculated values
The calculation puts the energy relative to the lowest polymorph listed for this composition at 0.0 meV per atom. The uncorrected formation energy comes out at 0.408 eV/atom. The calculation puts the energy at -6.6706 eV/atom.

=====

[6]
Material: SrTa2FeN4
Method: DFT, PBE
State: optimized geometry

The structure in CIF format:
```
data_SrTa2FeN4
_chemical_formula_sum 'Sr4 Ta8 Fe4 N16'
_symmetry_space_group_name_H-M 'C m c m'
_symmetry_Int_Tables_number 63
_symmetry_space_group_name_Hall '-C 2c 2'
_cell_length_a 3.125
_cell_length_b 11.020
_cell_length_c 10.911
_cell_angle_alpha 90.00
_cell_angle_beta 90.00
_cell_angle_gamma 90.00
loop_
_atom_site_label
_atom_site_type_symbol
_atom_site_fract_x
_atom_site_fract_y
_atom_site_fract_z
Sr1 Sr 0.000 0.105 0.250
Ta1 Ta 0.000 0.368 0.055
Fe1 Fe 0.000 0.163 0.750
N1 N 0.000 0.000 0.000
N2 N 0.000 0.266 0.606
N3 N 0.000 0.431 0.250
```

Calculated values
The uncorrected formation energy comes out at -0.865 eV/atom. The calculation puts the energy at -9.2584 eV/atom.